# 1
A relaxed structure of ThZn5CdPd2. Source: the Alexandria database, functional PBE.

a = 4.834 Å, b = 4.834 Å, c = 7.494 Å
α = 90.00°, β = 90.00°, γ = 90.00°
Element x y z (fractional)
Th1 0.000 0.000 0.000
Zn1 0.000 0.500 0.273
Zn2 0.000 0.500 0.727
Zn3 0.500 0.000 0.273
Zn4 0.500 0.000 0.727
Zn5 0.500 0.500 0.000
Cd1 0.000 0.000 0.500
Pd1 0.500 0.500 0.324
Pd2 0.500 0.500 0.676

Calculated values
spin magnetization	0.00	Bohr magnetons per cell
energy of formation	-130	meV per atom
V	175	Å³/cell
DFT total energy	-2.92	eV/atom

# 2
A relaxed structure of Ge3Pb5Cl16. Source: the Alexandria database, functional PBE.

a = 8.618 Å, b = 8.618 Å, c = 13.199 Å
α = 91.43°, β = 91.43°, γ = 56.92°
Element x y z (fractional)
Ge1 0.000 0.000 0.000
Ge2 0.168 0.675 0.494
Ge3 0.675 0.168 0.494
Pb1 0.154 0.154 0.270
Pb2 0.479 0.479 0.766
Pb3 0.491 0.988 0.987
Pb4 0.664 0.664 0.494
Pb5 0.988 0.491 0.987
Cl1 0.117 0.117 0.877
Cl2 0.154 0.647 0.878
Cl3 0.294 0.854 0.106
Cl4 0.298 0.298 0.131
Cl5 0.298 0.799 0.611
Cl6 0.349 0.349 0.605
Cl7 0.496 0.979 0.376
Cl8 0.503 0.503 0.385
Cl9 0.647 0.154 0.878
Cl10 0.662 0.662 0.856
Cl11 0.799 0.298 0.611
Cl12 0.802 0.802 0.111
Cl13 0.852 0.852 0.596
Cl14 0.854 0.294 0.106
Cl15 0.979 0.496 0.376
Cl16 0.988 0.988 0.387

Calculated values
spin magnetization	0.00	Bohr magnetons per cell
V	821	Å³/cell
DFT total energy	-3.58	eV/atom

# 3
A relaxed structure of BaAs2I. Source: the Alexandria database, functional PBE.

a = 11.886 Å, b = 11.886 Å, c = 11.886 Å
α = 156.06°, β = 156.06°, γ = 34.11°
Element x y z (fractional)
Ba1 0.000 0.000 0.000
Ba2 0.750 0.250 0.500
As1 0.267 0.625 0.142
As2 0.375 0.517 0.642
As3 0.483 0.125 0.858
As4 0.875 0.733 0.358
I1 0.250 0.750 0.500
I2 0.500 0.500 0.000

Calculated values
spin magnetization	0.00	Bohr magnetons per cell
V	276	Å³/cell
DFT total energy	-3.53	eV/atom
polymorph energy (0 for the lowest one)	0.0	meV per atom

> Which value of spin magnetization does entry 1 give?

0.00 Bohr magnetons per cell